# Cu4Ag5 (PBE, relaxed)
# - V (Å³/f.u.) = 138.21
# - formation enthalpy at 0 K (meV/atom) = 100.2
# - calculated total energy (eV for the cell shown) = -56.2
data_Cu4Ag5
_cell_length_a 14.3050
_cell_length_b 2.8316
_cell_length_c 8.2411
_cell_angle_alpha 90.00
_cell_angle_beta 124.10
_cell_angle_gamma 90.00
_space_group_name_H-M_alt 'C 1 m 1'
_space_group_IT_number 8
_space_group_name_Hall 'C -2y'
loop_
_atom_site_label
_atom_site_type_symbol
_atom_site_fract_x
_atom_site_fract_y
_atom_site_fract_z
Cu1 Cu 0.0000 0.0000 0.0000
Cu2 Cu 0.0522 0.5000 0.8011
Cu3 Cu 0.2114 0.0000 0.1097
Cu4 Cu 0.3804 0.5000 0.4442
Ag1 Ag 0.0988 0.0000 0.5679
Ag2 Ag 0.1610 0.5000 0.3259
Ag3 Ag 0.2692 0.5000 0.8983
Ag4 Ag 0.3369 0.0000 0.6757
Ag5 Ag 0.4362 0.0000 0.2256